Re2W2C: relaxed, PBE.

Results
SG: No. 139
Energy of formation in meV per atom: 1922
Total magnetic moment in μB/atom: 0.000
Relative energy among the computed polymorphs in eV per atom: 0.337
Final energy in eV/atom: -10.083

Lattice parameters (Å, degrees): 6.2987 6.2987 6.2987 142.23 142.23 54.48
Last column: nearest neighbours and their distance in Å.
Fractional positions:
1 Re 0.1163 0.1163 0.0000  4 W 2.53, 1 Re 2.61
2 Re 0.8837 0.8837 0.0000  4 W 2.53, 1 Re 2.61
3 W 0.2500 0.7500 0.5000  4 Re 2.53
4 W 0.7500 0.2500 0.5000  4 Re 2.53
5 C 0.5000 0.5000 0.0000  8 Re 3.16, 8 W 3.46

***

KNd4S6: relaxed, PBE.

Results
SG: No. 63
E_form (uncorrected) in meV/atom: -1926.9
Total magnetic moment in μB/atom: 0.000
Final energy in eV/atom: -6.012

Lattice parameters (Å, degrees): 7.1462 7.1462 21.4930 90.00 90.00 146.75
Last column: nearest neighbours and their distance in Å.
Fractional positions:
1 K 0.1478 0.8522 0.7500  6 S 3.13-3.30
2 K 0.8522 0.1478 0.2500  6 S 3.13-3.30
3 Nd 0.1033 0.8967 0.1358  5 S 2.66-2.93
4 Nd 0.1033 0.8967 0.3642  5 S 2.66-2.93
5 Nd 0.3694 0.6306 0.0433  6 S 2.74-2.94
6 Nd 0.3694 0.6306 0.4567  6 S 2.74-2.94
7 Nd 0.6306 0.3694 0.5433  6 S 2.74-2.94
8 Nd 0.6306 0.3694 0.9567  6 S 2.74-2.94
9 Nd 0.8967 0.1033 0.6358  5 S 2.66-2.93
10 Nd 0.8967 0.1033 0.8642  5 S 2.66-2.93
11 S 0.0000 0.0000 0.0000  4 Nd 2.87
12 S 0.0000 0.0000 0.5000  4 Nd 2.87
13 S 0.1787 0.8213 0.2500  2 Nd 2.66
14 S 0.2720 0.7280 0.5785  5 Nd 2.92-2.94
15 S 0.2720 0.7280 0.9215  5 Nd 2.92-2.94
16 S 0.4676 0.5324 0.1545  3 Nd 2.74-2.79
17 S 0.4676 0.5324 0.3455  3 Nd 2.74-2.79
18 S 0.5324 0.4676 0.6545  3 Nd 2.74-2.79
19 S 0.5324 0.4676 0.8455  3 Nd 2.74-2.79
20 S 0.7280 0.2720 0.0785  5 Nd 2.92-2.94
21 S 0.7280 0.2720 0.4215  5 Nd 2.92-2.94
22 S 0.8213 0.1787 0.7500  2 Nd 2.66

***

LaSi2SeO: relaxed, PBE.

Results
SG: No. 123
E_form (uncorrected) in meV/atom: 362.0
Total magnetic moment in μB/atom: 0.000
Final energy in eV/atom: -4.481

Lattice parameters (Å, degrees): 4.5924 4.5924 5.8946 90.00 90.00 90.00
Last column: nearest neighbours and their distance in Å.
Fractional positions:
1 La 0.0000 0.0000 0.0000  2 Se 2.95, 4 O 3.25
2 Si 0.0000 0.5000 0.5000  2 Se 2.30
3 Si 0.5000 0.0000 0.5000  2 Se 2.30
4 Se 0.0000 0.0000 0.5000  4 Si 2.30
5 O 0.5000 0.5000 0.0000  4 La 3.25

***

SbINO2: relaxed, PBE.

Results
SG: No. 123
E_form (uncorrected) in meV/atom: 1147.8
Total magnetic moment in μB/atom: 0.000
Final energy in eV/atom: -3.635

Lattice parameters (Å, degrees): 4.2268 4.2268 4.1615 90.00 90.00 90.00
Last column: nearest neighbours and their distance in Å.
Fractional positions:
1 Sb 0.0000 0.0000 0.0000  8 O 2.97, 4 I 2.99
2 I 0.5000 0.5000 0.0000  2 N 2.08
3 N 0.5000 0.5000 0.5000  2 I 2.08, 4 O 2.11
4 O 0.0000 0.5000 0.5000  2 N 2.11
5 O 0.5000 0.0000 0.5000  2 N 2.11